Record 1
# ScMnHgPb (GGA-PBE, relaxed)
# ΔH_f (0 K)	0.0098	eV/atom
data_ScMnHgPb
_space_group_name_H-M_alt 'F -4 3 m'
_space_group_IT_number 216
_space_group_name_Hall 'F -4 2 3'
_cell_length_a 6.9865
_cell_length_b 6.9865
_cell_length_c 6.9865
_cell_angle_alpha 90.00
_cell_angle_beta 90.00
_cell_angle_gamma 90.00
loop_
_atom_site_label
_atom_site_type_symbol
_atom_site_fract_x
_atom_site_fract_y
_atom_site_fract_z
Sc1 Sc 0.0000 0.0000 0.0000
Mn1 Mn 0.0000 0.0000 0.5000
Hg1 Hg 0.2500 0.2500 0.2500
Pb1 Pb 0.2500 0.2500 0.7500

---

Record 2
# TaMnHg2Pb (GGA-PBE, relaxed)
# ΔH_f (0 K)	1.4701	eV/atom
data_TaMnHg2Pb
_space_group_name_H-M_alt 'P 4/m m m'
_space_group_IT_number 123
_space_group_name_Hall '-P 4 2'
_cell_length_a 4.9580
_cell_length_b 4.9580
_cell_length_c 4.9176
_cell_angle_alpha 90.00
_cell_angle_beta 90.00
_cell_angle_gamma 90.00
loop_
_atom_site_label
_atom_site_type_symbol
_atom_site_fract_x
_atom_site_fract_y
_atom_site_fract_z
Ta1 Ta 0.0000 0.0000 0.0000
Mn1 Mn 0.5000 0.5000 0.5000
Hg1 Hg 0.0000 0.5000 0.5000
Pb1 Pb 0.5000 0.5000 0.0000

---

Record 3
# Mn2TlHgPb (GGA-PBE, relaxed)
# ΔH_f (0 K)	0.8406	eV/atom
data_Mn2TlHgPb
_space_group_name_H-M_alt 'P 4/m m m'
_space_group_IT_number 123
_space_group_name_Hall '-P 4 2'
_cell_length_a 5.1243
_cell_length_b 5.1243
_cell_length_c 5.5936
_cell_angle_alpha 90.00
_cell_angle_beta 90.00
_cell_angle_gamma 90.00
loop_
_atom_site_label
_atom_site_type_symbol
_atom_site_fract_x
_atom_site_fract_y
_atom_site_fract_z
Mn1 Mn 0.0000 0.5000 0.0000
Tl1 Tl 0.0000 0.0000 0.5000
Hg1 Hg 0.0000 0.0000 0.0000
Pb1 Pb 0.5000 0.5000 0.5000

---

What Fermi-level density of states values result from the calculations? In sequence: 11.192; 12.268; 3.623 states/eV/cell.